(1)
# LiDyTl2

LiDyTl2 after structural relaxation (PBE, Alexandria via LeMat-Bulk). Values from VASP.

Results
volume: 24.97 A^3/atom
energy of formation from the pure elements: -0.311 eV per atom
crystal system: tetragonal
DOS(E_F): 0.480 states/eV/atom
distance to the lowest polymorph of the same formula: 2 meV per atom

```
&SYSTEM
  ibrav = 0, nat = 4, ntyp = 3
/
ATOMIC_SPECIES
Li 6.94 Li.upf
Dy 162.50 Dy.upf
Tl 204.38 Tl.upf
ATOMIC_POSITIONS crystal
Li 0.000 0.000 0.000
Dy 0.500 0.500 0.000
Tl 0.000 0.500 0.500
Tl 0.500 0.000 0.500
CELL_PARAMETERS angstrom
5.088 0.000 0.000
0.000 5.088 0.000
0.000 0.000 3.859
```

=====

(2)
# LiDyTl2

LiDyTl2 after structural relaxation (PBE, Alexandria via LeMat-Bulk). Values from VASP.

Results
volume: 26.04 A^3/atom
energy of formation from the pure elements: -0.156 eV per atom
crystal system: trigonal
DOS(E_F): 0.731 states/eV/atom
distance to the lowest polymorph of the same formula: 157 meV per atom

```
&SYSTEM
  ibrav = 0, nat = 4, ntyp = 3
/
ATOMIC_SPECIES
Li 6.94 Li.upf
Dy 162.50 Dy.upf
Tl 204.38 Tl.upf
ATOMIC_POSITIONS crystal
Li 0.000 0.000 0.000
Dy 0.167 0.167 0.167
Tl 0.592 0.592 0.592
Tl 0.742 0.742 0.742
CELL_PARAMETERS angstrom
1.804 1.041 9.243
-1.804 1.041 9.243
0.000 -2.083 9.243
```